4
Lattice="-0.873 1.877 2.685 2.584 -1.314 1.759 3.500 4.342 -1.898" Properties=species:S:1:pos:R:3 comment="Li2PdPb | OQMD | PBE | relaxed" final_energy_ev_per_atom=-3.53 pbc="T T T"
Li 1.862 1.530 1.676
Li 3.349 3.375 0.870
Pb 0.000 0.000 0.000
Pd 1.750 2.171 -0.949

***

3
Lattice="-0.444 -5.517 -2.237 -1.895 -4.480 3.460 -5.377 -2.420 -0.929" Properties=species:S:1:pos:R:3 comment="BaAcTh | OQMD | PBE | relaxed" final_energy_ev_per_atom=-3.50 pbc="T T T"
Ac 0.000 0.000 0.000
Ba -1.929 -3.104 0.074
Th -5.787 -9.313 0.221

***

3
Lattice="0.000 3.243 3.243 3.243 0.000 3.243 3.243 3.243 0.000" Properties=species:S:1:pos:R:3 comment="InAgAu | OQMD | PBE | relaxed" de_polymorph_mev_per_atom=0 pbc="T T T"
Ag 1.621 1.621 1.621
Au 0.000 0.000 0.000
In 4.864 4.864 4.864

***

16
Lattice="0.000 -7.466 0.000 -7.466 0.000 0.000 3.733 3.733 -8.452" Properties=species:S:1:pos:R:3 comment="Ho5BiAu2 | OQMD | PBE | relaxed" final_energy_ev_per_atom=-4.50 pbc="T T T"
Au -2.779 -0.954 0.000
Au -0.954 -4.686 0.000
Au -6.512 -2.779 0.000
Au -4.686 -6.512 0.000
Bi 0.000 0.000 -4.226
Bi -3.733 -3.733 -4.226
Ho 0.000 0.000 0.000
Ho -3.733 -3.733 0.000
Ho 1.198 -2.534 -2.817
Ho -2.534 -1.198 -2.817
Ho -4.931 1.198 -2.817
Ho -1.198 -4.931 -2.817
Ho -2.534 1.198 -5.635
Ho 1.198 -4.931 -5.635
Ho -1.198 -2.534 -5.635
Ho -4.931 -1.198 -5.635

***

3
Lattice="0.000 3.558 3.558 3.558 0.000 3.558 3.558 3.558 0.000" Properties=species:S:1:pos:R:3 comment="PmPrSi | OQMD | PBE | relaxed" de_polymorph_mev_per_atom=0 pbc="T T T"
Pm 1.779 1.779 1.779
Pr 5.336 5.336 5.336
Si 0.000 0.000 0.000